Here is a relaxed K3MnCd crystal from Alexandria. Energies are from PBEsol.

The total energy is -2.028 eV/atom. The calculated formation energy is 19.4 kcal/mol of atoms.

Unit cell a=6.4460 b=6.4460 c=6.4460 alpha=90.00 beta=90.00 gamma=90.00
Atoms (fractional coordinates):
K 0.0000 0.0000 0.5000
K 0.0000 0.5000 0.0000
K 0.5000 0.0000 0.0000
Mn 0.5000 0.5000 0.5000
Cd 0.0000 0.0000 0.0000